[1]
## In2Ga2Ag (PBE)

Data for a relaxed structure of In2Ga2Ag.

## Properties
total moment	0.000	μB per atom
ρ	7.07	g cm⁻³
E_form	0.3	eV per formula unit

Cell: 6.8974 6.8974 4.7088 Å, 90.00 90.00 90.00°
Fractional coordinates of all 10 atoms:
Ga1 0.3646 0.8646 0.0000
Ga2 0.8646 0.6354 0.0000
Ga3 0.6354 0.1354 0.0000
Ga4 0.1354 0.3646 0.0000
Ag1 0.0000 0.0000 0.0000
Ag2 0.5000 0.5000 0.0000
In1 0.1754 0.6754 0.5000
In2 0.6754 0.8246 0.5000
In3 0.8246 0.3246 0.5000
In4 0.3246 0.1754 0.5000

[2]
## In6Ga2Ag (PBE)

Data for a relaxed structure of In6Ga2Ag.

## Properties
total moment	0.000	μB per atom
ρ	6.87	g cm⁻³
E_form	0.4	eV per formula unit

Cell: 6.6522 6.5222 11.4565 Å, 90.00 114.40 90.00°
Fractional coordinates of all 18 atoms:
In1 0.8012 0.0002 0.1697
In2 0.7594 0.7374 0.6044
In3 0.7411 0.7619 0.8956
In4 0.7589 0.2619 0.6044
In5 0.7406 0.2374 0.8956
In6 0.6988 0.5002 0.3303
In7 0.1988 0.9998 0.8303
In8 0.2406 0.2626 0.3956
In9 0.2589 0.2381 0.1044
In10 0.2411 0.7381 0.3956
In11 0.2594 0.7626 0.1044
In12 0.3012 0.4998 0.6697
Ga1 0.0620 0.4994 0.8430
Ga2 0.4380 0.9994 0.6570
Ga3 0.5620 0.0006 0.3430
Ga4 0.9380 0.5006 0.1570
Ag1 0.5000 0.5000 0.0000
Ag2 0.0000 0.0000 0.5000

[3]
## In2Ga2Ag (PBE)

Data for a relaxed structure of In2Ga2Ag.

## Properties
total moment	0.000	μB per atom
ρ	6.67	g cm⁻³
E_form	1.1	eV per formula unit

Cell: 4.4429 4.4429 6.7825 Å, 70.88 70.88 90.00°
Fractional coordinates of all 5 atoms:
Ga1 0.3995 0.3995 0.2011
Ga2 0.6005 0.6005 0.7989
Ag1 0.0000 0.0000 0.0000
In1 0.7500 0.2500 0.5000
In2 0.2500 0.7500 0.5000

[4]
## In3GaAg3 (PBE)

Data for a relaxed structure of In3GaAg3.

## Properties
total moment	0.000	μB per atom
ρ	5.34	g cm⁻³
E_form	3.3	eV per formula unit

Cell: 7.7142 7.7142 7.7142 Å, 90.00 90.00 90.00°
Fractional coordinates of all 14 atoms:
Ga1 0.5000 0.5000 0.5000
Ga2 0.0000 0.0000 0.0000
Ag1 0.0000 0.2500 0.5000
Ag2 0.0000 0.7500 0.5000
Ag3 0.5000 0.0000 0.7500
Ag4 0.7500 0.5000 0.0000
Ag5 0.5000 0.0000 0.2500
Ag6 0.2500 0.5000 0.0000
In1 0.2500 0.0000 0.5000
In2 0.0000 0.5000 0.2500
In3 0.5000 0.7500 0.0000
In4 0.7500 0.0000 0.5000
In5 0.0000 0.5000 0.7500
In6 0.5000 0.2500 0.0000

[5]
## InGa3Ag6 (PBE)

Data for a relaxed structure of InGa3Ag6.

## Properties
total moment	0.000	μB per atom
ρ	8.43	g cm⁻³
E_form	0.3	eV per formula unit

Cell: 7.4009 7.2778 7.2778 Å, 102.60 90.00 90.00°
Fractional coordinates of all 20 atoms:
In1 0.0086 0.2752 0.7248
In2 0.5086 0.7248 0.2752
Ga1 0.4616 0.9732 0.7212
Ga2 0.9616 0.7212 0.9732
Ga3 0.3314 0.4867 0.5133
Ga4 0.8314 0.5133 0.4867
Ga5 0.9616 0.0268 0.2788
Ga6 0.4616 0.2788 0.0268
Ag1 0.1251 0.8446 0.7010
Ag2 0.6251 0.7010 0.8446
Ag3 0.2787 0.5423 0.9012
Ag4 0.7787 0.9012 0.5423
Ag5 0.3074 0.9400 0.0600
Ag6 0.6071 0.3115 0.6885
Ag7 0.1071 0.6885 0.3115
Ag8 0.8074 0.0600 0.9400
Ag9 0.2787 0.0988 0.4577
Ag10 0.7787 0.4577 0.0988
Ag11 0.1251 0.2990 0.1554
Ag12 0.6251 0.1554 0.2990

[6]
## InGa3Ag2 (PBE)

Data for a relaxed structure of InGa3Ag2.

## Properties
total moment	0.000	μB per atom
ρ	7.67	g cm⁻³
E_form	0.2	eV per formula unit

Cell: 6.1648 6.1648 7.9416 Å, 67.16 67.16 60.00°
Fractional coordinates of all 12 atoms:
In1 0.7814 0.7814 0.6559
In2 0.2186 0.2186 0.3441
Ga1 0.2372 0.7187 0.3253
Ga2 0.7187 0.2372 0.3253
Ga3 0.7187 0.7187 0.3253
Ga4 0.2813 0.7628 0.6747
Ga5 0.7628 0.2813 0.6747
Ga6 0.2813 0.2813 0.6747
Ag1 0.0000 0.0000 0.0000
Ag2 0.0000 0.5000 0.0000
Ag3 0.5000 0.5000 0.0000
Ag4 0.5000 0.0000 0.0000

[7]
## In3Ga9Ag2 (PBE)

Data for a relaxed structure of In3Ga9Ag2.

## Properties
total moment	0.000	μB per atom
ρ	6.84	g cm⁻³
E_form	0.2	eV per formula unit

Cell: 4.3405 8.5283 8.5283 Å, 74.55 75.26 75.26°
Fractional coordinates of all 14 atoms:
In1 0.0000 0.0000 0.0000
In2 0.6919 0.3081 0.3081
In3 0.3081 0.6919 0.6919
Ga1 0.0000 0.5000 0.5000
Ga2 0.6578 0.9691 0.7154
Ga3 0.3422 0.0309 0.2846
Ga4 0.6578 0.7154 0.9691
Ga5 0.3422 0.2846 0.0309
Ga6 0.8568 0.8612 0.4251
Ga7 0.1432 0.1388 0.5749
Ga8 0.8568 0.4251 0.8612
Ga9 0.1432 0.5749 0.1388
Ag1 0.5000 0.3092 0.6908
Ag2 0.5000 0.6908 0.3092

[8]
## In2GaAg (PBE)

Data for a relaxed structure of In2GaAg.

## Properties
total moment	0.000	μB per atom
ρ	6.92	g cm⁻³
E_form	0.3	eV per formula unit

Cell: 4.5835 4.5835 5.9881 Å, 67.50 67.50 60.00°
Fractional coordinates of all 4 atoms:
In1 0.0734 0.0734 0.7798
In2 0.2670 0.2670 0.1990
Ga1 0.4918 0.4918 0.5246
Ag1 0.6678 0.6678 0.9966

What did the fifth record say?
## InGa3Ag6 (PBE)

Data for a relaxed structure of InGa3Ag6.

## Properties
total moment	0.000	μB per atom
ρ	8.43	g cm⁻³
E_form	0.3	eV per formula unit

Cell: 7.4009 7.2778 7.2778 Å, 102.60 90.00 90.00°
Fractional coordinates of all 20 atoms:
In1 0.0086 0.2752 0.7248
In2 0.5086 0.7248 0.2752
Ga1 0.4616 0.9732 0.7212
Ga2 0.9616 0.7212 0.9732
Ga3 0.3314 0.4867 0.5133
Ga4 0.8314 0.5133 0.4867
Ga5 0.9616 0.0268 0.2788
Ga6 0.4616 0.2788 0.0268
Ag1 0.1251 0.8446 0.7010
Ag2 0.6251 0.7010 0.8446
Ag3 0.2787 0.5423 0.9012
Ag4 0.7787 0.9012 0.5423
Ag5 0.3074 0.9400 0.0600
Ag6 0.6071 0.3115 0.6885
Ag7 0.1071 0.6885 0.3115
Ag8 0.8074 0.0600 0.9400
Ag9 0.2787 0.0988 0.4577
Ag10 0.7787 0.4577 0.0988
Ag11 0.1251 0.2990 0.1554
Ag12 0.6251 0.1554 0.2990